Here is Rb2Mg2Sn at its PBEsol-relaxed geometry from Alexandria via LeMat-Bulk. Energies are from meta-GGA SCAN.

Total magnetization in μB/atom: 0.15
Electronic total energy in eV per cell: -172.65

Unit cell a=4.0714 b=4.0714 c=24.3162 alpha=90.00 beta=90.00 gamma=90.00
Space group I4/mmm (No. 139)
Inequivalent atoms, fractional coordinates:
Rb (0.0000, 0.0000, 0.1009) (multiplicity 4)
Mg (0.0000, 0.5000, 0.2500) (multiplicity 4)
Sn (0.0000, 0.0000, 0.5000) (multiplicity 2)